[1]
4
Lattice="5.8853 0.1607 0.5165 5.0196 3.0766 0.5165 1.6576 0.4921 4.4688" Properties=species:S:1:pos:R:3 comment="TlFeAg2 PBE relaxed" energy_ev_per_cell=-15.05 formation_enthalpy_0k_ev_per_fu=1.5 n_ef_per_ev_cell=2.465 pbc="T T T"
Ag 1.8968 0.5631 4.3775
Ag 6.0420 1.7937 2.8423
Tl 3.1406 0.9323 1.3755
Fe 9.4218 2.7970 4.1264

***

[2]
4
Lattice="9.7184 0.0009 0.0005 9.3075 2.7959 0.0005 9.3075 1.3682 2.4382" Properties=species:S:1:pos:R:3 comment="MgPtW2 PBE relaxed" energy_ev_per_cell=-32.57 formation_enthalpy_0k_ev_per_fu=1.0 n_ef_per_ev_cell=3.318 pbc="T T T"
Mg 7.0834 1.0413 0.6098
W 0.1093 0.0161 0.0094
W 14.0574 2.0664 1.2102
Pt 21.2501 3.1238 1.8295

***

[3]
7
Lattice="4.1328 0.0000 0.0000 2.0664 5.4937 -0.4880 2.0664 1.5791 5.1373" Properties=species:S:1:pos:R:3 comment="Er2Si2BOs2 PBE relaxed" energy_ev_per_cell=-54.53 n_ef_per_ev_cell=2.872 formation_energy_uncorrected_mev_per_atom=-774 pbc="T T T"
Os 4.1328 5.1519 4.2319
Os 4.1328 1.9210 0.4174
Si 6.1993 4.4008 3.2992
Si 2.0664 2.6720 1.3501
B 0.0000 0.0000 0.0000
Er 4.1328 5.0503 1.1402
Er 4.1328 2.0225 3.5091

***

[4]
5
Lattice="-0.3242 -1.5114 -4.0117 6.0895 -0.3228 -0.3705 -0.1203 -4.0184 1.5237" Properties=species:S:1:pos:R:3 comment="NiSnWCl2 PBE relaxed" energy_ev_per_cell=-22.20 n_ef_per_ev_cell=3.592 formation_energy_uncorrected_mev_per_atom=846 pbc="T T T"
Sn 3.0448 -0.1614 -0.1853
Cl -0.0602 -2.0092 0.7618
Cl -0.1621 -0.7557 -2.0058
W 2.8225 -2.9263 -1.4293
Ni 0.0000 0.0000 0.0000